No. 1
Entry from Alexandria: an optimized crystal structure of TbPr6Ho (PBE).

Computed properties:
Energy relative to the elements, meV/atom: 14.5
Mass density, g cm⁻³: 6.949

a = 5.1894 Å, b = 5.1894 Å, c = 10.3756 Å
α = 90.00°, β = 90.00°, γ = 90.00°
Closest atoms and distances in Å follow each position.
Space group P4/mmm (No. 123)
Asymmetric unit:
Tb 0.0000 0.0000 0.0000  12 Pr 3.67
Pr 0.0000 0.5000 0.2504  2 Ho 3.67, 8 Pr 3.67, 2 Tb 3.67
Pr 0.5000 0.5000 0.0000  4 Tb 3.67, 8 Pr 3.67
Pr 0.5000 0.5000 0.5000  8 Pr 3.67, 4 Ho 3.67
Ho 0.0000 0.0000 0.5000  12 Pr 3.67

=====

No. 2
Entry from Alexandria: an optimized crystal structure of Tb4PrHo5 (PBE).

Computed properties:
Energy relative to the elements, meV/atom: 68.6
Energy above the most stable polymorph in this dataset, meV per atom: 0
Mass density, g cm⁻³: 8.279

a = 3.5201 Å, b = 6.6860 Å, c = 14.0833 Å
α = 93.87°, β = 94.76°, γ = 102.56°
Closest atoms and distances in Å follow each position.
Space group P-1 (No. 2)
Asymmetric unit:
Tb 0.0364 0.3024 0.2146  5 Tb 3.47-3.57, 5 Ho 3.50-3.83, 1 Pr 3.74
Tb 0.3416 0.8275 0.1985  3 Ho 3.28-3.61, 5 Tb 3.47-3.57, 1 Pr 3.59
Pr 0.5000 0.5000 0.0000  2 Ho 3.42, 2 Pr 3.52, 4 Tb 3.59-3.74
Ho 0.0000 0.0000 0.0000  4 Tb 3.33-3.50, 2 Pr 3.42, 2 Ho 3.52
Ho 0.1932 0.3626 0.5989  8 Ho 3.45-3.76, 4 Tb 3.59-3.83
Ho 0.4834 0.8893 0.5966  7 Ho 3.18-3.55, 3 Tb 3.28-3.51

=====

No. 3
Entry from Alexandria: an optimized crystal structure of TbPrHo4 (PBE).

Computed properties:
Energy relative to the elements, meV/atom: 280.0
Energy above the most stable polymorph in this dataset, meV per atom: 286
Mass density, g cm⁻³: 7.858

a = 9.3260 Å, b = 9.3260 Å, c = 9.3260 Å
α = 90.00°, β = 90.00°, γ = 90.00°
Closest atoms and distances in Å follow each position.
Space group F-43m (No. 216)
Asymmetric unit:
Tb 0.0000 0.0000 0.0000  12 Ho 3.86, 4 Pr 4.04
Pr 0.2500 0.2500 0.7500  12 Ho 3.87, 4 Tb 4.04
Ho 0.1255 0.1255 0.3745  6 Ho 3.28-3.31

=====

No. 4
Entry from Alexandria: an optimized crystal structure of Tb9Pr11Ho4 (PBE).

Computed properties:
Energy relative to the elements, meV/atom: 56.2
Mass density, g cm⁻³: 7.382

a = 17.1329 Å, b = 25.9648 Å, c = 3.6813 Å
α = 90.00°, β = 90.00°, γ = 90.00°
Closest atoms and distances in Å follow each position.
Space group Cmmm (No. 65)
Asymmetric unit:
Tb 0.0000 0.0000 0.0000  2 Tb 3.68, 4 Ho 3.78, 8 Pr 3.87-4.00
Tb 0.1020 0.2322 0.0000  3 Tb 3.50-3.68, 1 Ho 3.51, 8 Pr 3.58-3.77
Tb 0.1408 0.4272 0.0000  1 Ho 3.54, 8 Pr 3.57-3.80, 3 Tb 3.68-3.78
Pr 0.0000 0.1313 0.5000  4 Ho 3.35, 4 Tb 3.65, 2 Pr 3.68
Pr 0.0000 0.3393 0.5000  4 Pr 3.68-3.87, 8 Tb 3.77-3.80
Pr 0.0000 0.5000 0.5000  8 Tb 3.57, 2 Pr 3.68
Pr 0.2073 0.0000 0.5000  4 Ho 3.33, 2 Pr 3.68, 4 Tb 3.70
Pr 0.2236 0.3190 0.5000  2 Ho 3.43, 6 Tb 3.58-3.75, 3 Pr 3.68-3.70
Ho 0.1575 0.1019 0.0000  6 Pr 3.33-3.43, 2 Tb 3.51-3.54, 2 Ho 3.68

=====

No. 5
Entry from Alexandria: an optimized crystal structure of TbPr2Ho4 (PBE).

Computed properties:
Energy relative to the elements, meV/atom: 19.4
Energy above the most stable polymorph in this dataset, meV per atom: 0
Mass density, g cm⁻³: 7.915

a = 6.7912 Å, b = 8.5150 Å, c = 9.2845 Å
α = 65.50°, β = 71.93°, γ = 77.18°
Closest atoms and distances in Å follow each position.
Space group P1 (No. 1)
Asymmetric unit:
Tb 0.0000 0.0000 0.0000  9 Ho 3.49-3.66, 3 Pr 3.55-3.65
Tb 0.1940 0.7655 0.5451  8 Ho 3.49-3.66, 4 Pr 3.56-3.70
Pr 0.1481 0.5729 0.2835  3 Pr 3.56-3.65, 2 Tb 3.56-3.64, 7 Ho 3.58-3.68
Pr 0.3380 0.3301 0.8351  8 Ho 3.55-3.66, 2 Tb 3.55-3.70, 2 Pr 3.59-3.66
Pr 0.4337 0.7182 0.8545  8 Ho 3.54-3.70, 2 Tb 3.57-3.65, 2 Pr 3.59-3.65
Pr 0.6243 0.4745 0.4049  8 Ho 3.55-3.68, 3 Pr 3.56-3.66, 1 Tb 3.67
Ho 0.0513 0.1877 0.2616  7 Ho 3.50-3.67, 2 Tb 3.54-3.60, 3 Pr 3.58-3.65
Ho 0.2884 0.1390 0.5707  2 Tb 3.49-3.66, 6 Ho 3.50-3.65, 4 Pr 3.58-3.68
Ho 0.4840 0.9095 0.1180  5 Ho 3.49-3.66, 3 Tb 3.49-3.65, 4 Pr 3.58-3.68
Ho 0.5783 0.2824 0.1439  7 Ho 3.49-3.66, 4 Pr 3.55-3.70, 1 Tb 3.61
Ho 0.7206 0.8605 0.4277  6 Ho 3.50-3.67, 3 Tb 3.53-3.63, 3 Pr 3.59-3.66
Ho 0.7718 0.0477 0.6886  7 Ho 3.50-3.66, 2 Tb 3.53-3.61, 3 Pr 3.55-3.66
Ho 0.8640 0.4283 0.7146  5 Ho 3.52-3.67, 5 Pr 3.55-3.67, 2 Tb 3.56-3.63
Ho 0.9070 0.6187 0.9742  5 Ho 3.52-3.67, 5 Pr 3.54-3.66, 2 Tb 3.56-3.66

=====

No. 6
Entry from Alexandria: an optimized crystal structure of TbPr4Ho8 (PBE).

Computed properties:
Energy relative to the elements, meV/atom: 523.6
Mass density, g cm⁻³: 7.090

a = 11.0688 Å, b = 11.0688 Å, c = 13.5216 Å
α = 90.00°, β = 90.00°, γ = 120.00°
Closest atoms and distances in Å follow each position.
Space group R-3m (No. 166, hexagonal axes)
Asymmetric unit:
Tb 0.0000 0.0000 0.0000  8 Ho 3.52, 6 Pr 3.91
Pr 0.0000 0.0000 0.5000  8 Ho 3.24-3.25
Pr 0.0000 0.5000 0.5000  8 Ho 3.43-3.44
Ho 0.0000 0.0000 0.2601  4 Pr 3.24-3.44, 1 Tb 3.52
Ho 0.0132 0.5066 0.2461  4 Pr 3.25-3.44, 1 Tb 3.52